! Nd5C | OQMD | PBE | optimized geometry; values from VASP
! uncorrected energy = -3.973 eV per atom
! total magnetic moment = 0.0 μB/f.u.
&SYSTEM
  ibrav = 0, nat = 6, ntyp = 2
/
ATOMIC_SPECIES
Nd 144.24 Nd.upf
C 12.01 C.upf
ATOMIC_POSITIONS crystal
Nd 0.0000 0.5000 0.0000
Nd 0.3333 0.6667 0.5000
Nd 0.5000 0.0000 0.0000
Nd 0.5000 0.5000 0.0000
Nd 0.6667 0.3333 0.5000
C 0.0000 0.0000 0.5000
CELL_PARAMETERS angstrom
6.0956 0.0000 0.0000
-3.0478 5.2789 0.0000
0.0000 0.0000 6.1972

! Tb2Bi | OQMD | PBE | optimized geometry; values from VASP
! uncorrected energy = -4.506 eV per atom
! total magnetic moment = 0.0 μB/f.u.
&SYSTEM
  ibrav = 0, nat = 6, ntyp = 2
/
ATOMIC_SPECIES
Tb 158.93 Tb.upf
Bi 208.98 Bi.upf
ATOMIC_POSITIONS crystal
Tb 0.0000 0.0000 0.0000
Tb 0.0000 0.0000 0.5000
Tb 0.0000 0.5000 0.0000
Tb 0.5000 0.0000 0.0000
Bi 0.3750 0.3750 0.3750
Bi 0.6250 0.6250 0.6250
CELL_PARAMETERS angstrom
0.0000 4.4831 4.4831
4.4831 0.0000 4.4831
4.4831 4.4831 0.0000

What is the uncorrected energy in the second record? -4.506 eV per atom

Number 1 is which compound? Nd5C

Look up the uncorrected energy of the first one. -3.973 eV per atom

Repeat the first record exactly.
! Nd5C | OQMD | PBE | optimized geometry; values from VASP
! uncorrected energy = -3.973 eV per atom
! total magnetic moment = 0.0 μB/f.u.
&SYSTEM
  ibrav = 0, nat = 6, ntyp = 2
/
ATOMIC_SPECIES
Nd 144.24 Nd.upf
C 12.01 C.upf
ATOMIC_POSITIONS crystal
Nd 0.0000 0.5000 0.0000
Nd 0.3333 0.6667 0.5000
Nd 0.5000 0.0000 0.0000
Nd 0.5000 0.5000 0.0000
Nd 0.6667 0.3333 0.5000
C 0.0000 0.0000 0.5000
CELL_PARAMETERS angstrom
6.0956 0.0000 0.0000
-3.0478 5.2789 0.0000
0.0000 0.0000 6.1972